[1]
Sm2ErPa2Rh5: optimized geometry, GGA-PBE.

```
Sm2ErPa2Rh5
1.0
10.907 0.000 0.000
0.000 10.907 0.000
0.000 0.000 3.603
Sm Er Pa Rh
4 2 4 10
direct
0.171 0.329 0.000 Sm
0.329 0.829 0.000 Sm
0.671 0.171 0.000 Sm
0.829 0.671 0.000 Sm
0.000 0.000 0.000 Er
0.500 0.500 0.000 Er
0.137 0.637 0.000 Pa
0.363 0.137 0.000 Pa
0.637 0.863 0.000 Pa
0.863 0.363 0.000 Pa
0.000 0.500 0.500 Rh
0.053 0.798 0.500 Rh
0.202 0.053 0.500 Rh
0.298 0.553 0.500 Rh
0.447 0.298 0.500 Rh
0.500 0.000 0.500 Rh
0.553 0.702 0.500 Rh
0.702 0.447 0.500 Rh
0.798 0.947 0.500 Rh
0.947 0.202 0.500 Rh
```

Summary:
E_form = -0.6711 eV/atom
size of the total moment = 0.0 μB/cell
total DFT energy (no corrections) = -152.922 eV per cell
ρ = 11.2 Mg/m³

[2]
Sb2IrPb2: optimized geometry, GGA-PBE.

```
Sb2IrPb2
1.0
6.821 0.000 0.000
0.000 6.821 0.000
0.000 0.000 5.840
Sb Ir Pb
4 2 4
direct
0.147 0.353 0.000 Sb
0.353 0.853 0.000 Sb
0.647 0.147 0.000 Sb
0.853 0.647 0.000 Sb
0.000 0.000 0.000 Ir
0.500 0.500 0.000 Ir
0.179 0.679 0.500 Pb
0.321 0.179 0.500 Pb
0.679 0.821 0.500 Pb
0.821 0.321 0.500 Pb
```

Summary:
size of the total moment = 0.0 μB/cell
total DFT energy (no corrections) = -48.322 eV per cell
formation energy (no corrections) = 0.072 eV per atom
ρ = 10.4 Mg/m³

[3]
Sn3PBr: optimized geometry, GGA-PBE.

```
Sn3PBr
1.0
5.406 0.000 0.000
0.000 5.406 0.000
0.000 0.000 5.406
Sn P Br
3 1 1
direct
0.000 0.000 0.500 Sn
0.000 0.500 0.000 Sn
0.500 0.000 0.000 Sn
0.000 0.000 0.000 P
0.500 0.500 0.500 Br
```

Summary:
size of the total moment = 0.0 μB/cell
excess energy over the best structure of this formula in the dataset = 0.000 eV/atom
total DFT energy (no corrections) = -17.465 eV per cell
formation energy (no corrections) = 0.325 eV per atom
ρ = 4.9 Mg/m³